Entry 1:
PBE-GGA U4PS3, relaxed; M_tot = 8.3 μB per cell
1.0
5.475 0.000 0.000
0.000 5.475 0.000
0.000 0.000 5.475
U P S
4 1 3
Direct
0.000 0.000 0.000
0.000 0.500 0.500
0.500 0.000 0.500
0.500 0.500 0.000
0.500 0.500 0.500
0.000 0.000 0.500
0.000 0.500 0.000
0.500 0.000 0.000

Entry 2:
First-principles (PBE-GGA) data for crystalline Zn2P3S9 at its relaxed geometry, as listed in the Open Quantum Materials Database.

Cell and atoms, written as POSCAR:
```
Zn2P3S9
1.0
9.194 -5.352 0.000
9.194 5.352 0.000
-0.623 0.000 6.665
Zn P S
4 6 18
Direct
0.047 0.702 0.827
0.298 0.953 0.173
0.702 0.047 0.827
0.953 0.298 0.173
0.025 0.025 0.853
0.280 0.280 0.120
0.374 0.374 0.796
0.626 0.626 0.204
0.720 0.720 0.880
0.975 0.975 0.147
0.071 0.071 0.339
0.081 0.758 0.167
0.091 0.413 0.248
0.242 0.919 0.833
0.259 0.259 0.799
0.266 0.564 0.664
0.395 0.395 0.116
0.413 0.091 0.248
0.436 0.734 0.336
0.564 0.266 0.664
0.587 0.909 0.752
0.605 0.605 0.884
0.734 0.436 0.336
0.741 0.741 0.201
0.758 0.081 0.167
0.909 0.587 0.752
0.919 0.242 0.833
0.929 0.929 0.661
```

Entry 3:
First-principles (PBE-GGA) data for crystalline ZnPS3 at its relaxed geometry, as listed in the Open Quantum Materials Database.

Cell and atoms, written as POSCAR:
```
ZnPS3
1.0
8.290 0.000 0.000
-4.145 7.179 0.000
0.000 0.000 4.452
Zn P S
2 2 6
Direct
0.333 0.667 0.250
0.667 0.333 0.750
0.000 0.000 0.250
0.000 0.000 0.750
0.018 0.509 0.250
0.491 0.509 0.250
0.491 0.982 0.250
0.509 0.018 0.750
0.509 0.491 0.750
0.982 0.491 0.750
```

Entry 4:
First-principles (PBE-GGA) data for crystalline ZnPS3 at its relaxed geometry, as listed in the Open Quantum Materials Database.

Cell and atoms, written as POSCAR:
```
ZnPS3
1.0
2.993 -5.183 0.000
2.993 5.183 0.000
-1.994 0.000 6.565
Zn P S
2 2 6
Direct
0.167 0.833 0.000
0.833 0.167 0.000
0.444 0.444 0.832
0.556 0.556 0.168
0.088 0.418 0.754
0.251 0.251 0.244
0.418 0.088 0.754
0.582 0.912 0.246
0.749 0.749 0.756
0.912 0.582 0.246
```

Entry 5:
PBE-GGA ZrPS3, relaxed; M_tot = 0.0 μB per cell
1.0
6.474 0.000 0.000
0.000 6.526 0.000
-3.696 0.000 9.803
Zr P S
4 4 12
Direct
0.206 0.133 0.221
0.206 0.367 0.721
0.794 0.633 0.279
0.794 0.867 0.779
0.134 0.606 0.059
0.134 0.894 0.559
0.866 0.106 0.441
0.866 0.394 0.941
0.110 0.173 0.939
0.110 0.327 0.439
0.193 0.688 0.875
0.193 0.812 0.375
0.488 0.630 0.694
0.488 0.870 0.194
0.512 0.130 0.806
0.512 0.370 0.306
0.807 0.188 0.625
0.807 0.312 0.125
0.890 0.673 0.561
0.890 0.827 0.061

Entry 6:
PBE-GGA ZrP2S7, relaxed; M_tot = 0.0 μB per cell
1.0
0.000 7.504 14.986
4.393 0.000 14.986
4.393 7.504 0.000
Zr P S
4 8 28
Direct
0.015 0.015 0.235
0.235 0.235 0.015
0.765 0.765 0.985
0.985 0.985 0.765
0.007 0.629 0.126
0.126 0.738 0.007
0.262 0.874 0.371
0.371 0.993 0.262
0.629 0.007 0.738
0.738 0.126 0.629
0.874 0.262 0.993
0.993 0.371 0.874
0.018 0.877 0.476
0.019 0.517 0.294
0.112 0.239 0.322
0.123 0.982 0.871
0.129 0.476 0.877
0.150 0.600 0.150
0.173 0.678 0.761
0.239 0.112 0.827
0.294 0.669 0.019
0.322 0.827 0.112
0.331 0.706 0.483
0.400 0.850 0.400
0.476 0.129 0.018
0.483 0.981 0.331
0.517 0.019 0.669
0.524 0.871 0.982
0.600 0.150 0.600
0.669 0.294 0.517
0.678 0.173 0.888
0.706 0.331 0.981
0.761 0.888 0.173
0.827 0.322 0.239
0.850 0.400 0.850
0.871 0.524 0.123
0.877 0.018 0.129
0.888 0.761 0.678
0.981 0.483 0.706
0.982 0.123 0.524

Entry 7:
First-principles (PBE-GGA) data for crystalline Zn2Sn2SbP3 at its relaxed geometry, as listed in the Open Quantum Materials Database.

Cell and atoms, written as POSCAR:
```
Zn2Sn2SbP3
1.0
13.113 0.000 0.000
0.000 5.857 0.000
-2.623 0.000 5.253
Zn Sn Sb P
4 4 2 6
Direct
0.136 0.000 0.363
0.364 0.500 0.637
0.636 0.500 0.363
0.864 0.000 0.637
0.128 0.536 0.891
0.372 0.036 0.109
0.628 0.036 0.891
0.872 0.536 0.109
0.000 0.233 0.500
0.500 0.733 0.500
0.000 0.796 0.000
0.250 0.271 0.267
0.250 0.771 0.733
0.500 0.296 0.000
0.750 0.271 0.733
0.750 0.771 0.267
```

Entry 8:
First-principles (PBE-GGA) data for crystalline Zn2Sn2Sb3P at its relaxed geometry, as listed in the Open Quantum Materials Database.

Cell and atoms, written as POSCAR:
```
Zn2Sn2Sb3P
1.0
13.837 0.000 0.000
0.000 6.214 0.000
-2.735 0.000 5.549
Zn Sn Sb P
4 4 6 2
Direct
0.114 0.000 0.340
0.386 0.500 0.660
0.614 0.500 0.340
0.886 0.000 0.660
0.122 0.460 0.887
0.378 0.960 0.113
0.622 0.960 0.887
0.878 0.460 0.113
0.000 0.751 0.500
0.249 0.727 0.285
0.251 0.227 0.715
0.500 0.251 0.500
0.749 0.227 0.285
0.751 0.727 0.715
0.000 0.212 0.000
0.500 0.712 0.000
```

Entry 9:
PBE-GGA Sr2TmSbP, relaxed; M_tot = 2.0 μB per cell
1.0
2.240 -8.654 0.000
2.240 8.654 0.000
0.000 0.000 8.549
Sr Tm Sb P
4 2 2 2
Direct
0.058 0.942 0.500
0.216 0.784 0.874
0.784 0.216 0.374
0.942 0.058 0.000
0.401 0.599 0.652
0.599 0.401 0.152
0.438 0.562 0.305
0.562 0.438 0.805
0.176 0.824 0.232
0.824 0.176 0.732

Entry 10:
PBE-GGA Tb3SbP2, relaxed; M_tot = 0.0 μB per cell
1.0
4.109 0.000 0.000
-2.054 3.558 0.000
0.000 0.000 10.339
Tb Sb P
3 1 2
Direct
0.000 0.000 0.000
0.333 0.667 0.309
0.667 0.333 0.691
0.000 0.000 0.500
0.333 0.667 0.843
0.667 0.333 0.157

Entry 11:
PBE-GGA Tb3Sb2P, relaxed; M_tot = 0.0 μB per cell
1.0
4.241 0.000 0.000
-2.121 3.673 0.000
0.000 0.000 10.621
Tb Sb P
3 2 1
Direct
0.000 0.000 0.000
0.333 0.667 0.354
0.667 0.333 0.646
0.333 0.667 0.825
0.667 0.333 0.175
0.000 0.000 0.500

Entry 12:
PBE-GGA Tm3SbP2, relaxed; M_tot = 0.0 μB per cell
1.0
4.023 0.000 0.000
-2.011 3.484 0.000
0.000 0.000 10.194
Tm Sb P
3 1 2
Direct
0.000 0.000 0.000
0.333 0.667 0.307
0.667 0.333 0.693
0.000 0.000 0.500
0.333 0.667 0.843
0.667 0.333 0.157

Entry 13:
PBE-GGA Zr2SbP, relaxed; M_tot = 0.0 μB per cell
1.0
3.816 0.000 0.000
-1.908 3.305 0.000
0.000 0.000 13.972
Zr Sb P
4 2 2
Direct
0.333 0.667 0.138
0.333 0.667 0.362
0.667 0.333 0.638
0.667 0.333 0.862
0.000 0.000 0.000
0.000 0.000 0.500
0.333 0.667 0.750
0.667 0.333 0.250

Entry 14:
PBE-GGA SmSc2P3, relaxed; M_tot = 0.0 μB per cell
1.0
3.882 0.000 0.000
-1.941 3.362 0.000
0.000 0.000 9.458
Sm Sc P
1 2 3
Direct
0.000 0.000 0.000
0.333 0.667 0.342
0.667 0.333 0.658
0.000 0.000 0.500
0.333 0.667 0.814
0.667 0.333 0.186

Entry 15:
PBE-GGA Tb2ScP3, relaxed; M_tot = 0.0 μB per cell
1.0
3.943 0.000 0.000
-1.972 3.415 0.000
0.000 0.000 9.617
Tb Sc P
2 1 3
Direct
0.333 0.667 0.326
0.667 0.333 0.674
0.000 0.000 0.000
0.000 0.000 0.500
0.333 0.667 0.848
0.667 0.333 0.152

Entry 16:
PBE-GGA ScTc3P, relaxed; M_tot = 1.9 μB per cell
1.0
4.413 0.000 0.000
0.000 4.413 0.000
0.000 0.000 4.413
Sc Tc P
1 3 1
Direct
0.000 0.000 0.000
0.000 0.500 0.500
0.500 0.000 0.500
0.500 0.500 0.000
0.500 0.500 0.500

Entry 17:
PBE-GGA Tm2ScP3, relaxed; M_tot = 0.0 μB per cell
1.0
3.886 0.000 0.000
-1.943 3.366 0.000
0.000 0.000 9.496
Tm Sc P
2 1 3
Direct
0.333 0.667 0.329
0.667 0.333 0.671
0.000 0.000 0.000
0.000 0.000 0.500
0.333 0.667 0.843
0.667 0.333 0.157

Entry 18:
PBE-GGA TmSc2P3, relaxed; M_tot = 0.0 μB per cell
1.0
3.824 0.000 0.000
-1.912 3.312 0.000
0.000 0.000 9.337
Tm Sc P
1 2 3
Direct
0.000 0.000 0.000
0.333 0.667 0.338
0.667 0.333 0.662
0.000 0.000 0.500
0.333 0.667 0.823
0.667 0.333 0.177

Entry 19:
PBE-GGA TmScP2, relaxed; M_tot = 0.0 μB per cell
1.0
3.859 0.000 0.000
0.000 3.859 0.000
0.000 0.000 5.455
Tm Sc P
1 1 2
Direct
0.000 0.000 0.000
0.500 0.500 0.500
0.000 0.000 0.500
0.500 0.500 0.000

Entry 20:
PBE-GGA Sc3U2P3, relaxed; M_tot = 6.8 μB per cell
1.0
2.521 1.455 7.452
-2.521 1.455 7.452
0.000 -2.911 7.452
Sc U P
3 2 3
Direct
0.000 0.500 0.500
0.500 0.000 0.500
0.500 0.500 0.000
0.198 0.198 0.198
0.802 0.802 0.802
0.068 0.068 0.068
0.500 0.500 0.500
0.932 0.932 0.932

Calculated energy, -0.3364 -0.1597 -0.1282 -0.1548 -0.2204 -0.2000 -0.1466 -0.1329 -0.1632 -0.2293 -0.2155 -0.2252 -0.2770 -0.2605 -0.2520 -0.3144 -0.2502 -0.2602 -0.2545 -0.2651 Ha/atom (same order as the records).